# 1
The following is a DFT calculation (PBE-GGA) of a relaxed structure of TcSe2Cl.

Distance to the lowest polymorph of the same formula = 784.0 meV per atom
ρ = 6.31 g/cm3
Total magnetic moment = 1.2 μB per formula unit

a b c (Å): 4.640 4.638 4.636
angles (deg): 68.93 73.71 111.10
Each line ends with the local moment (μB).
Fractional positions:
Cl 0.500 0.500 0.000  -0.01
Se 0.000 0.000 0.000  -0.03
Se 0.500 0.000 0.500  -0.03
Tc 0.000 0.500 0.500  1.12



# 2
The following is a DFT calculation (PBE-GGA) of a relaxed structure of ZrReNi2.

Formation energy from the elements = -0.083 eV per atom
Distance to the lowest polymorph of the same formula = 28.4 meV per atom
ρ = 11.48 g/cm3
Total magnetic moment = 0.0 μB per formula unit

a b c (Å): 6.165 4.674 2.743
angles (deg): 90.06 63.48 121.90
Fractional positions:
Ni 0.000 0.000 0.000
Ni 0.500 0.000 0.500
Re 0.000 0.500 0.500
Zr 0.500 0.500 0.000



# 3
The following is a DFT calculation (PBE-GGA) of a relaxed structure of Li2La3Pd7.

Formation energy from the elements = -0.700 eV per atom
ρ = 8.53 g/cm3
Total magnetic moment = 0.0 μB per formula unit

a b c (Å): 5.546 5.546 9.164
angles (deg): 72.39 72.39 60.00
Fractional positions:
Li 0.666 0.666 0.003
Li 0.334 0.334 0.997
La 0.000 0.000 0.000
La 0.861 0.861 0.416
La 0.139 0.139 0.584
Pd 0.500 0.500 0.500
Pd 0.923 0.419 0.238
Pd 0.419 0.923 0.238
Pd 0.419 0.419 0.238
Pd 0.077 0.581 0.762
Pd 0.581 0.581 0.762
Pd 0.581 0.077 0.762



# 4
The following is a DFT calculation (PBE-GGA) of a relaxed structure of Np3Ni8Ge.

Formation energy from the elements = -0.163 eV per atom
ρ = 12.21 g/cm3
Total magnetic moment = 10.2 μB per formula unit

a b c (Å): 4.948 4.948 8.532
angles (deg): 73.14 73.14 60.00
Each line ends with the local moment (μB).
Fractional positions:
Np 0.624 0.624 0.128  3.50
Np 0.001 0.001 0.996  3.34
Np 0.499 0.499 0.503  3.32
Ni 0.564 0.064 0.809  -0.09
Ni 0.062 0.559 0.317  0.02
Ni 0.564 0.564 0.809  -0.09
Ni 0.062 0.062 0.317  0.02
Ni 0.812 0.812 0.564  -0.13
Ni 0.313 0.313 0.062  0.03
Ni 0.064 0.564 0.809  -0.09
Ni 0.559 0.062 0.317  0.02
Ge 0.127 0.127 0.618  0.00



# 5
The following is a DFT calculation (PBE-GGA) of a relaxed structure of Ir5Ru3.

Formation energy from the elements = -0.022 eV per atom
Distance to the lowest polymorph of the same formula = 4.5 meV per atom
ρ = 18.36 g/cm3
Total magnetic moment = 0.0 μB per formula unit

a b c (Å): 5.163 7.277 7.277
angles (deg): 98.41 113.82 66.18
Fractional positions:
Ru 0.252 0.166 0.416
Ru 0.250 0.042 0.043
Ru 0.249 0.416 0.167
Ru 0.752 0.584 0.834
Ru 0.750 0.958 0.958
Ru 0.749 0.834 0.585
Ir 0.247 0.668 0.917
Ir 0.251 0.793 0.291
Ir 0.250 0.542 0.542
Ir 0.250 0.291 0.793
Ir 0.254 0.917 0.668
Ir 0.747 0.083 0.332
Ir 0.751 0.709 0.207
Ir 0.750 0.458 0.459
Ir 0.750 0.207 0.709
Ir 0.754 0.332 0.083



# 6
The following is a DFT calculation (PBE-GGA) of a relaxed structure of BaLi2Hg2.

Formation energy from the elements = -0.375 eV per atom
Distance to the lowest polymorph of the same formula = 0.0 meV per atom
ρ = 6.70 g/cm3
Total magnetic moment = 0.0 μB per formula unit

a b c (Å): 4.438 4.438 7.628
angles (deg): 73.09 73.09 90.00
Fractional positions:
Li 0.750 0.250 0.500
Li 0.250 0.750 0.500
Hg 0.375 0.375 0.249
Hg 0.625 0.625 0.751
Ba 0.000 0.000 0.000



# 7
The following is a DFT calculation (PBE-GGA) of a relaxed structure of ScFeMo.

Formation energy from the elements = 0.043 eV per atom
Distance to the lowest polymorph of the same formula = 141.2 meV per atom
ρ = 6.86 g/cm3
Total magnetic moment = 1.0 μB per formula unit

a b c (Å): 5.557 5.557 3.051
angles (deg): 74.07 74.07 31.86
Each line ends with the local moment (μB).
Fractional positions:
Fe 0.983 0.983 0.017  1.28
Mo 0.356 0.356 0.644  -0.18
Sc 0.661 0.661 0.339  -0.06



# 8
The following is a DFT calculation (PBE-GGA) of a relaxed structure of GaBH2.

Distance to the lowest polymorph of the same formula = 476.6 meV per atom
ρ = 4.58 g/cm3
Total magnetic moment = 0.0 μB per formula unit

a b c (Å): 3.486 3.486 3.486
angles (deg): 60.00 60.00 60.00
Fractional positions:
H 0.250 0.250 0.250
H 0.750 0.750 0.750
B 0.000 0.000 0.000
Ga 0.500 0.500 0.500



# 9
The following is a DFT calculation (PBE-GGA) of a relaxed structure of Ho4CdCuHg2.

Formation energy from the elements = -0.375 eV per atom
ρ = 10.51 g/cm3
Total magnetic moment = 0.0 μB per formula unit

a b c (Å): 5.178 5.178 8.930
angles (deg): 73.15 73.15 60.00
Fractional positions:
Ho 0.381 0.381 0.856
Ho 0.870 0.870 0.391
Ho 0.130 0.130 0.609
Ho 0.619 0.619 0.144
Cd 0.000 0.000 0.000
Cu 0.500 0.500 0.500
Hg 0.745 0.745 0.764
Hg 0.255 0.255 0.236



# 10
The following is a DFT calculation (PBE-GGA) of a relaxed structure of PmNbGe2.

Formation energy from the elements = -0.505 eV per atom
ρ = 7.23 g/cm3
Total magnetic moment = 0.0 μB per formula unit

a b c (Å): 3.936 3.936 6.938
angles (deg): 73.52 73.52 60.00
Fractional positions:
Pm 0.500 0.500 0.500
Nb 0.000 0.000 0.000
Ge 0.262 0.262 0.215
Ge 0.738 0.738 0.785



# 11
The following is a DFT calculation (PBE-GGA) of a relaxed structure of PuNb3.

Formation energy from the elements = 0.402 eV per atom
Distance to the lowest polymorph of the same formula = 244.0 meV per atom
ρ = 10.78 g/cm3
Total magnetic moment = 4.9 μB per formula unit

a b c (Å): 4.318 4.318 4.318
angles (deg): 90.00 90.00 90.00
Each line ends with the local moment (μB).
Fractional positions:
Nb 0.000 0.500 0.500  -0.03
Nb 0.500 0.000 0.500  -0.03
Nb 0.500 0.500 0.000  -0.03
Pu 0.000 0.000 0.000  4.85



# 12
The following is a DFT calculation (PBE-GGA) of a relaxed structure of K3PmNb2O9.

E_tot = -7.122 eV/atom
ρ = 4.21 g/cm3
Total magnetic moment = 2.1 μB per formula unit

a b c (Å): 6.013 6.013 7.453
angles (deg): 90.00 90.00 120.00
Each line ends with the local moment (μB).
Fractional positions:
K 0.333 0.667 0.682  0.00
K 0.000 0.000 0.000  0.00
K 0.667 0.333 0.318  0.00
Pm 0.000 0.000 0.500  -0.02
Nb 0.333 0.667 0.172  -0.10
Nb 0.667 0.333 0.828  -0.10
O 0.823 0.177 0.691  0.13
O 0.823 0.646 0.691  0.13
O 0.354 0.177 0.691  0.13
O 0.646 0.823 0.309  0.13
O 0.177 0.354 0.309  0.13
O 0.177 0.823 0.309  0.13
O 0.500 0.000 0.000  0.37
O 0.000 0.500 0.000  0.37
O 0.500 0.500 0.000  0.37



# 13
The following is a DFT calculation (PBE-GGA) of a relaxed structure of TlHgF6.

E_tot = -3.062 eV/atom
ρ = 6.96 g/cm3
Total magnetic moment = 1.1 μB per formula unit

a b c (Å): 3.400 6.235 6.235
angles (deg): 110.58 90.00 90.00
Each line ends with the local moment (μB).
Fractional positions:
Tl 0.000 0.992 0.008  -0.01
Hg 0.500 0.507 0.493  0.20
F 0.000 0.592 0.777  0.13
F 0.000 0.223 0.408  0.13
F 0.000 0.646 0.354  0.32
F 0.500 0.922 0.734  0.08
F 0.500 0.266 0.078  0.08
F 0.500 0.853 0.147  0.06



# 14
The following is a DFT calculation (PBE-GGA) of a relaxed structure of As2PdSeO.

Distance to the lowest polymorph of the same formula = 646.0 meV per atom
ρ = 4.96 g/cm3
Total magnetic moment = 2.3 μB per formula unit

a b c (Å): 4.801 4.801 5.102
angles (deg): 90.00 90.00 90.00
Each line ends with the local moment (μB).
Fractional positions:
O 0.500 0.500 0.500  1.21
As 0.000 0.500 0.000  0.07
As 0.500 0.000 0.000  0.07
Se 0.000 0.000 0.500  0.35
Pd 0.000 0.000 0.000  0.06



# 15
The following is a DFT calculation (PBE-GGA) of a relaxed structure of BeZnPb.

Formation energy from the elements = 0.310 eV per atom
ρ = 7.82 g/cm3
Total magnetic moment = 0.0 μB per formula unit

a b c (Å): 8.199 3.973 7.344
angles (deg): 90.00 90.00 90.00
Fractional positions:
Pb 0.330 0.250 0.407
Pb 0.170 0.750 0.907
Pb 0.670 0.750 0.593
Pb 0.830 0.250 0.093
Be 0.994 0.250 0.428
Be 0.506 0.750 0.928
Be 0.006 0.750 0.572
Be 0.494 0.250 0.072
Zn 0.947 0.250 0.732
Zn 0.553 0.750 0.232
Zn 0.053 0.750 0.268
Zn 0.447 0.250 0.768



# 16
The following is a DFT calculation (PBE-GGA) of a relaxed structure of BeTc2Mo.

Formation energy from the elements = 0.136 eV per atom
ρ = 9.07 g/cm3
Total magnetic moment = 0.0 μB per formula unit

a b c (Å): 4.762 4.762 4.762
angles (deg): 133.92 133.92 67.22
Fractional positions:
Be 0.250 0.750 0.500
Mo 0.750 0.250 0.500
Tc 0.000 0.000 0.000
Tc 0.500 0.500 0.000



# 17
The following is a DFT calculation (PBE-GGA) of a relaxed structure of Sr3IrBr.

Distance to the lowest polymorph of the same formula = 217.4 meV per atom
ρ = 4.45 g/cm3
Total magnetic moment = 0.0 μB per formula unit

a b c (Å): 5.845 5.845 5.845
angles (deg): 90.00 90.00 90.00
Fractional positions:
Sr 0.000 0.500 0.000
Sr 0.000 0.000 0.500
Sr 0.500 0.000 0.000
Ir 0.000 0.000 0.000
Br 0.500 0.500 0.500



| no. | Fermi-level density of states (states/eV per atom) |
| --- | --- |
| 1 | 0.664 |
| 2 | 0.974 |
| 3 | 0.399 |
| 4 | 2.072 |
| 5 | 0.948 |
| 6 | 0.645 |
| 7 | 1.047 |
| 8 | 0.218 |
| 9 | 0.586 |
| 10 | 0.259 |
| 11 | 1.437 |
| 12 | 0.358 |
| 13 | 0.772 |
| 14 | 0.630 |
| 15 | 0.346 |
| 16 | 1.060 |
| 17 | 0.909 |